The following is a GGA-PBE calculation of InNiSeN2 after structural relaxation, from Alexandria.

Unit cell a=3.8049 b=3.8049 c=5.0278 alpha=90.00 beta=90.00 gamma=90.00
With the nearest neighbours (Å) after each atom.
Atoms (fractional coordinates):
Ni (0.0000, 0.0000, 0.0000)  4 N 1.90
N (0.0000, 0.5000, 0.0000)  2 Ni 1.90
N (0.5000, 0.0000, 0.0000)  2 Ni 1.90
Se (0.0000, 0.0000, 0.5000)  2 Ni 2.51, 4 In 2.69
In (0.5000, 0.5000, 0.5000)  4 Se 2.69

Properties
As for the space-group type: No. 123. Its calculated total energy is -4.704 eV/atom. The value obtained for the energy above the lowest structure with this stoichiometry is 0 meV per atom. As for the total magnetization: 0.578 μB/atom. As for the raw formation energy: 1.027 eV/atom.